[1]
Crystalline Pu2Be4Ge3Rh at its relaxed geometry. Source: the Alexandria database, functional PBE-GGA. Values from VASP.

Cell and atoms, written as Quantum ESPRESSO input:
```
&SYSTEM
  ibrav = 0, nat = 10, ntyp = 4
/
ATOMIC_SPECIES
Pu 244.00 Pu.upf
Be 9.01 Be.upf
Ge 72.64 Ge.upf
Rh 102.91 Rh.upf
ATOMIC_POSITIONS crystal
Pu 0.0000 0.5000 0.2486
Pu 0.5000 0.0000 0.7514
Be 0.0000 0.0000 0.5000
Be 0.0000 0.5000 0.8726
Be 0.5000 0.0000 0.1274
Be 0.5000 0.5000 0.5000
Ge 0.0000 0.0000 0.0000
Ge 0.0000 0.5000 0.6331
Ge 0.5000 0.0000 0.3669
Rh 0.5000 0.5000 0.0000
CELL_PARAMETERS angstrom
3.9645 0.0000 0.0000
0.0000 3.9645 0.0000
0.0000 0.0000 9.6670
```

Results
Total magnetization, μB per atom: 1.1098
DFT formation energy, meV per atom: -345
VASP energy, eV per atom: -6.822

---

[2]
Crystalline Pu2Be3Ge4Rh at its relaxed geometry. Source: the Alexandria database, functional PBE-GGA. Values from VASP.

Cell and atoms, written as Quantum ESPRESSO input:
```
&SYSTEM
  ibrav = 0, nat = 10, ntyp = 4
/
ATOMIC_SPECIES
Pu 244.00 Pu.upf
Be 9.01 Be.upf
Ge 72.64 Ge.upf
Rh 102.91 Rh.upf
ATOMIC_POSITIONS crystal
Pu 0.0000 0.5000 0.2414
Pu 0.5000 0.0000 0.7586
Be 0.0000 0.5000 0.8716
Be 0.5000 0.0000 0.1284
Be 0.5000 0.5000 0.5000
Ge 0.0000 0.0000 0.0000
Ge 0.0000 0.5000 0.6416
Ge 0.5000 0.0000 0.3584
Ge 0.5000 0.5000 0.0000
Rh 0.0000 0.0000 0.5000
CELL_PARAMETERS angstrom
4.0492 0.0000 0.0000
0.0000 4.0492 0.0000
0.0000 0.0000 9.8645
```

Results
Total magnetization, μB per atom: 1.0758
DFT formation energy, meV per atom: -339
VASP energy, eV per atom: -6.905

---

[3]
Crystalline Pu2Be3Ge4Ru at its relaxed geometry. Source: the Alexandria database, functional PBE-GGA. Values from VASP.

Cell and atoms, written as Quantum ESPRESSO input:
```
&SYSTEM
  ibrav = 0, nat = 10, ntyp = 4
/
ATOMIC_SPECIES
Pu 244.00 Pu.upf
Be 9.01 Be.upf
Ge 72.64 Ge.upf
Ru 101.07 Ru.upf
ATOMIC_POSITIONS crystal
Pu 0.0000 0.5000 0.2423
Pu 0.5000 0.0000 0.7577
Be 0.0000 0.5000 0.8725
Be 0.5000 0.0000 0.1275
Be 0.5000 0.5000 0.5000
Ge 0.0000 0.0000 0.0000
Ge 0.0000 0.5000 0.6414
Ge 0.5000 0.0000 0.3586
Ge 0.5000 0.5000 0.0000
Ru 0.0000 0.0000 0.5000
CELL_PARAMETERS angstrom
4.0450 0.0000 0.0000
0.0000 4.0450 0.0000
0.0000 0.0000 9.8683
```

Results
Total magnetization, μB per atom: 1.0780
DFT formation energy, meV per atom: -267
VASP energy, eV per atom: -7.025

---

[4]
Crystalline Pu2Be4Ge3Ru at its relaxed geometry. Source: the Alexandria database, functional PBE-GGA. Values from VASP.

Cell and atoms, written as Quantum ESPRESSO input:
```
&SYSTEM
  ibrav = 0, nat = 10, ntyp = 4
/
ATOMIC_SPECIES
Pu 244.00 Pu.upf
Be 9.01 Be.upf
Ge 72.64 Ge.upf
Ru 101.07 Ru.upf
ATOMIC_POSITIONS crystal
Pu 0.0000 0.5000 0.2447
Pu 0.5000 0.0000 0.7553
Be 0.0000 0.0000 0.5000
Be 0.0000 0.5000 0.8712
Be 0.5000 0.0000 0.1288
Be 0.5000 0.5000 0.5000
Ge 0.0000 0.0000 0.0000
Ge 0.0000 0.5000 0.6332
Ge 0.5000 0.0000 0.3668
Ru 0.5000 0.5000 0.0000
CELL_PARAMETERS angstrom
3.9424 0.0000 0.0000
0.0000 3.9424 0.0000
0.0000 0.0000 9.7187
```

Results
Total magnetization, μB per atom: 1.0823
DFT formation energy, meV per atom: -272
VASP energy, eV per atom: -6.942

---

- DFT formation energy of number 2 (Pu2Be3Ge4Rh)?
  -339 meV per atom

---

- Which formula does entry 3 have?
  Pu2Be3Ge4Ru